{"formula": "LiNd2AlSe5", "functional": "PBE", "state": "optimized geometry", "mass_density_g_cm3": 5.56, "final_energy_ev_per_atom": -5.13, "m_tot_mub_per_cell": 0.00, "lattice": [[-3.637, -1.012, 1.421], [2.386, -7.377, -4.874], [5.087, -4.729, 9.649]], "species": ["Li", "Li", "Nd", "Nd", "Nd", "Nd", "Al", "Al", "Se", "Se", "Se", "Se", "Se", "Se", "Se", "Se", "Se", "Se"], "fractional_positions": [[0.786, 0.573, 0.519], [0.214, 0.427, 0.019], [0.869, 0.738, 0.805], [0.121, 0.243, 0.682], [0.131, 0.262, 0.305], [0.879, 0.757, 0.182], [0.572, 0.144, 0.955], [0.428, 0.856, 0.455], [0.357, 0.715, 0.999], [0.687, 0.375, 0.852], [0.502, 0.004, 0.782], [0.293, 0.586, 0.666], [0.956, 0.912, 0.563], [0.643, 0.285, 0.499], [0.313, 0.625, 0.352], [0.498, 0.996, 0.282], [0.707, 0.414, 0.166], [0.044, 0.088, 0.063]]}